VASP calculation (PBE with a Hubbard U) on a relaxed Ba3MnFe2O6 crystal.

It has space group P-3m1 (No. 164), with a = 6.1407 Å, b = 6.1407 Å, c = 6.9086 Å, α = 90.00°, β = 90.00° and γ = 120.00°. The asymmetric unit holds Ba at (0.0000, 0.0000, 0.0000), Ba at (0.3333, 0.6667, 0.6599), Mn at (0.0000, 0.0000, 0.5000), Fe at (0.3333, 0.6667, 0.2262) and O at (0.1637, 0.3273, 0.2995).

For the electronic total energy, the calculation gives -6.396 eV per atom. Its crystal system is trigonal. The value obtained for the spin magnetization is 13.0 μB/f.u.